Run i
A geometry-optimized NaCa2Br structure, computed with PBE.

Total magnetization = 0.00 μB/atom

The structure in POSCAR format:
```
NaCa2Br
1.0
9.0387 0.0000 0.0000
0.0000 9.0387 0.0000
4.5194 4.5194 3.8242
Na Br Ca
2 2 4
direct
0.5000 0.5000 0.0000
0.2500 0.7500 0.5000
0.0000 0.0000 0.0000
0.7500 0.2500 0.5000
0.0684 0.6250 0.2500
0.8750 0.9316 0.7500
0.3750 0.3184 0.7500
0.6816 0.1250 0.2500
```


Run ii
A geometry-optimized NaCa2Br structure, computed with PBE.

Total magnetization = 0.00 μB/atom

The structure in POSCAR format:
```
NaCa2Br
1.0
0.0000 4.1299 4.1299
4.1299 0.0000 4.1299
4.1299 4.1299 0.0000
Br Ca Na
1 2 1
direct
0.5000 0.5000 0.5000
0.7500 0.7500 0.7500
0.2500 0.2500 0.2500
0.0000 0.0000 0.0000
```


Run iii
A geometry-optimized NaCa2Br structure, computed with PBE.

Total magnetization = 0.00 μB/atom

The structure in POSCAR format:
```
NaCa2Br
1.0
3.8384 0.0000 0.0000
1.9192 3.3241 0.0000
1.9192 1.1080 11.6922
Na Ca Br
1 2 1
direct
0.0000 0.0000 0.0000
0.1016 0.1016 0.6953
0.8984 0.8984 0.3047
0.5000 0.5000 0.5000
```


The winner here is run iii, beating the second structure by 6.4 kJ/mol of atoms.


Run i
A geometry-optimized Na2CaBr structure, computed with PBE.

Total magnetization = 0.00 μB/atom

The structure in POSCAR format:
```
Na2CaBr
1.0
0.0000 4.1980 4.1980
4.1980 0.0000 4.1980
4.1980 4.1980 0.0000
Na Br Ca
2 1 1
direct
0.2500 0.2500 0.2500
0.7500 0.7500 0.7500
0.5000 0.5000 0.5000
0.0000 0.0000 0.0000
```


Run ii
A geometry-optimized Na2CaBr structure, computed with PBE.

Total magnetization = 0.00 μB/atom

The structure in POSCAR format:
```
Na2CaBr
1.0
9.7417 0.0000 0.0000
0.0000 9.7417 0.0000
4.8708 4.8708 3.0403
Na Ca Br
4 2 2
direct
0.6944 0.1250 0.2500
0.0556 0.6250 0.2500
0.8750 0.9444 0.7500
0.3750 0.3056 0.7500
0.5000 0.5000 0.0000
0.2500 0.7500 0.5000
0.7500 0.2500 0.5000
0.0000 0.0000 0.0000
```


Run iii
A geometry-optimized Na2CaBr structure, computed with PBE.

Total magnetization = 0.00 μB/atom

The structure in POSCAR format:
```
Na2CaBr
1.0
-0.2892 3.9606 0.1712
-2.2769 1.9414 -2.6165
-9.4035 1.0509 5.9438
Na Ca Br
2 1 1
direct
0.1098 0.1098 0.6705
0.8902 0.8902 0.3295
0.0000 0.0000 0.0000
0.5000 0.5000 0.5000
```


Run iv
A geometry-optimized Na2CaBr structure, computed with PBE.

Total magnetization = 0.00 μB/atom

The structure in POSCAR format:
```
Na2CaBr
1.0
3.7144 0.0000 0.0000
0.0000 3.7144 0.0000
0.0000 0.0000 9.7297
Na Ca Br
2 1 1
direct
0.0000 0.0000 0.1825
0.0000 0.0000 0.8175
0.5000 0.5000 0.5000
0.5000 0.5000 0.0000
```


The winner here is run iv, beating the second structure by 1.7 kJ/mol of atoms.


Run i
A geometry-optimized NaCaBr structure, computed with PBE.

Total magnetization = 0.06 μB/atom

The structure in POSCAR format:
```
NaCaBr
1.0
3.9905 0.0000 0.0000
-1.9952 3.4845 0.0000
0.0000 0.0000 15.0098
Ca Na Br
2 2 2
direct
0.3337 0.6673 0.5000
0.5543 0.1086 0.0000
0.6666 0.3333 0.3003
0.6666 0.3333 0.6997
0.2227 0.4454 0.8758
0.2227 0.4454 0.1242
```


Run ii
A geometry-optimized NaCaBr structure, computed with PBE.

Total magnetization = 0.00 μB/atom

The structure in POSCAR format:
```
NaCaBr
1.0
-3.5283 -1.0260 1.7212
2.6398 -2.8824 -1.0894
3.0338 0.3493 6.4272
Br Ca Na
1 1 1
direct
0.3333 0.6667 0.6520
0.6667 0.3333 0.3768
0.0000 0.0000 0.9712
```


The winner here is run ii, beating the second structure by 1.6 kJ/mol of atoms.


Run i
A geometry-optimized NaCaSe2Br structure, computed with PBE.

Total magnetization = 0.00 μB/atom

The structure in POSCAR format:
```
NaCaSe2Br
1.0
5.0708 0.0000 0.0000
0.0000 5.0708 0.0000
0.0000 0.0000 5.5695
Br Se Na Ca
1 2 1 1
direct
0.0000 0.0000 0.5000
0.0000 0.5000 0.0000
0.5000 0.0000 0.0000
0.0000 0.0000 0.0000
0.5000 0.5000 0.5000
```


Run ii
A geometry-optimized NaCaSe2Br structure, computed with PBE.

Total magnetization = 0.31 μB/atom

The structure in POSCAR format:
```
NaCaSe2Br
1.0
5.5882 0.0000 0.0000
0.0000 5.5882 0.0000
0.0000 0.0000 5.7292
Se Na Br Ca
2 1 1 1
direct
0.0000 0.5000 0.0000
0.5000 0.0000 0.0000
0.5000 0.5000 0.5000
0.0000 0.0000 0.5000
0.0000 0.0000 0.0000
```


The winner here is run ii, beating the second structure by 21.7 kJ/mol of atoms.


Run i
A geometry-optimized CaNbBr3 structure, computed with PBE.

Total magnetization = 0.70 μB/atom

The structure in POSCAR format:
```
CaNbBr3
1.0
-2.5711 -1.5351 4.5061
-0.7371 -4.9312 -2.1005
4.7030 -1.6121 2.1342
Br Nb Ca
3 1 1
direct
0.0000 0.0000 0.5000
0.5000 0.0000 0.0000
0.0000 0.5000 0.0000
0.0000 0.0000 0.0000
0.5000 0.5000 0.5000
```


Run ii
A geometry-optimized CaNbBr3 structure, computed with PBE.

Total magnetization = 0.80 μB/atom

The structure in POSCAR format:
```
CaNbBr3
1.0
-0.8518 4.7177 -2.8391
-0.0008 -2.8730 -4.7737
-5.5061 -0.7294 0.4399
Ca Br Nb
1 3 1
direct
0.0000 0.0000 0.0000
0.5000 0.0000 0.0000
0.0000 0.5000 0.0000
0.0000 0.0000 0.5000
0.5000 0.5000 0.5000
```


The winner here is run i, beating the second structure by 15.2 kJ/mol of atoms.


Run i
A geometry-optimized Ca3NbBr structure, computed with PBE.

Total magnetization = 0.78 μB/atom

The structure in POSCAR format:
```
Ca3NbBr
1.0
-1.8733 2.1099 -4.7829
4.1741 -2.4551 -2.7179
-3.1472 -4.5120 -0.7577
Ca Nb Br
3 1 1
direct
0.5000 0.0000 0.0000
0.0000 0.0000 0.5000
0.0000 0.5000 0.0000
0.5000 0.5000 0.5000
0.0000 0.0000 0.0000
```


Run ii
A geometry-optimized Ca3NbBr structure, computed with PBE.

Total magnetization = 0.00 μB/atom

The structure in POSCAR format:
```
Ca3NbBr
1.0
-0.7281 -3.2195 4.5457
5.5670 -0.5784 0.4821
0.1917 4.5672 3.2655
Nb Ca Br
1 3 1
direct
0.0000 0.0000 0.0000
0.0000 0.5000 0.0000
0.0000 0.0000 0.5000
0.5000 0.0000 0.0000
0.5000 0.5000 0.5000
```


The winner here is run i, beating the second structure by 28.2 kJ/mol of atoms.


Run i
A geometry-optimized CaNbBr6 structure, computed with PBE.

Total magnetization = 0.13 μB/atom

The structure in POSCAR format:
```
CaNbBr6
1.0
-0.0514 6.3989 2.6088
-5.6064 3.9759 -0.7093
-4.1443 1.2404 6.0334
Nb Br Ca
1 6 1
direct
0.0000 0.0000 0.0000
0.2255 0.9291 0.2368
0.0708 0.3916 0.7630
0.9292 0.6084 0.2370
0.3915 0.7746 0.7630
0.6085 0.2254 0.2370
0.7745 0.0709 0.7632
0.5000 0.5000 0.5000
```


Run ii
A geometry-optimized CaNbBr6 structure, computed with PBE.

Total magnetization = 0.13 μB/atom

The structure in POSCAR format:
```
CaNbBr6
1.0
-4.7592 2.5282 4.2217
0.7624 -7.7134 -2.1307
5.9375 1.5893 3.9961
Br Ca Nb
6 1 1
direct
0.5397 0.2673 0.0000
0.4603 0.7327 0.0000
0.1486 0.4184 0.2894
0.8591 0.1289 0.7106
0.1409 0.8711 0.2894
0.8514 0.5816 0.7106
0.0000 0.0000 0.0000
0.0000 0.5000 0.0000
```


The winner here is run ii, beating the second structure by 1.9 kJ/mol of atoms.


Run i
A geometry-optimized Ca2NdBr structure, computed with PBE.

Total magnetization = 0.00 μB/atom

The structure in POSCAR format:
```
Ca2NdBr
1.0
3.8299 0.0000 0.0000
1.9150 3.3168 0.0000
1.9150 1.1056 10.5446
Ca Nd Br
2 1 1
direct
0.7383 0.7383 0.7850
0.2617 0.2617 0.2150
0.5000 0.5000 0.5000
0.0000 0.0000 0.0000
```


Run ii
A geometry-optimized Ca2NdBr structure, computed with PBE.

Total magnetization = 0.00 μB/atom

The structure in POSCAR format:
```
Ca2NdBr
1.0
3.6635 0.0000 0.0000
0.0000 3.6635 0.0000
0.0000 0.0000 10.0402
Ca Nd Br
2 1 1
direct
0.0000 0.0000 0.7767
0.0000 0.0000 0.2233
0.5000 0.5000 0.5000
0.5000 0.5000 0.0000
```


The winner here is run i, beating the second structure by 9.1 kJ/mol of atoms.


Run i
A geometry-optimized CaNdBr4 structure, computed with PBE.

Total magnetization = 0.00 μB/atom

The structure in POSCAR format:
```
CaNdBr4
1.0
-3.1083 -0.7137 -2.3577
4.6104 -0.3776 -5.9638
-0.4930 -7.0774 2.7922
Br Ca Nd
4 1 1
direct
0.0000 0.2579 0.7384
0.5000 0.2720 0.2632
0.5000 0.7280 0.7368
0.0000 0.7421 0.2616
0.0000 0.5000 0.5000
0.5000 0.5000 0.0000
```


Run ii
A geometry-optimized CaNdBr4 structure, computed with PBE.

Total magnetization = 0.14 μB/atom

The structure in POSCAR format:
```
CaNdBr4
1.0
5.4983 0.0000 -2.0773
-0.7848 5.4420 -2.0773
-0.3731 -0.4307 7.3278
Nd Br Ca
1 4 1
direct
0.5000 0.5000 0.0000
0.4935 0.9935 0.9870
0.2531 0.2531 0.5062
0.0065 0.5065 0.0130
0.7469 0.7469 0.4938
0.2500 0.7500 0.5000
```


The winner here is run i, beating the second structure by 6.7 kJ/mol of atoms.


Run i
A geometry-optimized CaNiBr2 structure, computed with PBE.

Total magnetization = 0.01 μB/atom

The structure in POSCAR format:
```
CaNiBr2
1.0
-2.2663 -0.5863 3.5293
7.1668 -1.5808 3.2815
-0.7548 8.0096 -1.5920
Br Ni Ca
4 2 2
direct
0.9630 0.0356 0.4840
0.3717 0.9891 0.0305
0.1578 0.5468 0.1313
0.6071 0.5045 0.5964
0.1554 0.0181 0.7592
0.2855 0.2694 0.0602
0.6911 0.2575 0.7843
0.9351 0.3274 0.3258
```


Run ii
A geometry-optimized CaNiBr2 structure, computed with PBE.

Total magnetization = 0.07 μB/atom

The structure in POSCAR format:
```
CaNiBr2
1.0
-0.7472 -0.0067 3.5167
-0.0746 -3.5940 -0.0227
6.6986 -0.1481 1.4230
Ca Ni Br
1 1 2
direct
0.5000 0.5000 0.2500
0.5000 0.5000 0.7500
0.0000 0.0000 0.5006
0.0000 0.0000 0.9994
```


Run iii
A geometry-optimized CaNiBr2 structure, computed with PBE.

Total magnetization = 0.10 μB/atom

The structure in POSCAR format:
```
CaNiBr2
1.0
4.8017 0.0219 0.0000
-0.0205 4.8020 0.0000
0.0000 0.0000 3.7196
Br Ni Ca
2 1 1
direct
0.0000 0.0000 0.0000
0.5000 0.5000 0.0000
0.0000 0.5000 0.5000
0.5000 0.0000 0.5000
```


The winner here is run i, beating the second structure by 42.2 kJ/mol of atoms.


Run i
A geometry-optimized CaBr2O structure, computed with PBE.

Total magnetization = 0.00 μB/atom

The structure in POSCAR format:
```
CaBr2O
1.0
-2.4896 4.9340 -4.7148
-3.0849 0.7199 2.3823
5.5242 1.1211 6.8145
Br O Ca
4 2 2
direct
0.7792 0.2394 0.3799
0.4360 0.8913 0.4241
0.9360 0.1087 0.9241
0.2792 0.7606 0.8799
0.2071 0.7439 0.4496
0.7071 0.2561 0.9496
0.8060 0.7505 0.1440
0.3060 0.2495 0.6440
```


Run ii
A geometry-optimized CaBr2O structure, computed with PBE.

Total magnetization = 0.00 μB/atom

The structure in POSCAR format:
```
CaBr2O
1.0
2.6062 0.0000 6.9207
-1.3031 2.2570 6.9207
-1.3031 -2.2570 6.9207
O Ca Br
1 1 2
direct
0.0000 0.0000 0.0000
0.5000 0.5000 0.5000
0.9002 0.9002 0.9002
0.0998 0.0998 0.0998
```


Run iii
A geometry-optimized CaBr2O structure, computed with PBE.

Total magnetization = 0.50 μB/atom

The structure in POSCAR format:
```
CaBr2O
1.0
1.9656 0.4426 4.6479
3.0975 3.8594 1.0832
-1.5615 3.7172 3.0670
Br Ca O
2 1 1
direct
0.7500 0.7500 0.7500
0.2500 0.2500 0.2500
0.5000 0.5000 0.5000
0.0000 0.0000 0.0000
```


The winner here is run i, beating the second structure by 63.9 kJ/mol of atoms.